Record 1
11
Lattice="5.6167 -5.7793 0.0000 5.6167 5.7793 0.0000 -2.4357 0.0000 5.5149" Properties=species:S:1:pos:R:3 comment="La2Tb2Tm7 PBE-GGA optimized geometry" spacegroup=C2/m e_tot_ev_per_atom=-4.419 pbc="T T T"
La 5.6167 3.3588 0.0000
La 5.6167 -3.3588 0.0000
Tb 2.8494 0.0000 3.7874
Tb 5.9484 0.0000 1.7276
Tm -1.2178 0.0000 2.7575
Tm 2.8804 3.0530 1.8121
Tm 2.5008 0.0000 0.4370
Tm 5.9174 3.0530 3.7028
Tm 2.8804 -3.0530 1.8121
Tm 6.2970 0.0000 5.0780
Tm 5.9174 -3.0530 3.7028

---

Record 2
11
Lattice="-1.7563 4.6843 11.4500 1.7563 -4.6843 11.4500 1.7563 4.6843 -11.4500" Properties=species:S:1:pos:R:3 comment="La4Tb5Tm2 PBE-GGA optimized geometry" spacegroup=Immm e_tot_ev_per_atom=-4.419 pbc="T T T"
La 0.0000 0.0000 2.1485
La 1.7563 1.9819 0.0000
La 0.0000 2.7023 11.4500
La 0.0000 0.0000 20.7515
Tb 1.7563 2.8054 -3.4589
Tb 1.7563 2.8054 3.4589
Tb 0.0000 4.6843 0.0000
Tb 0.0000 1.8788 7.9911
Tb 0.0000 1.8788 14.9089
Tm 0.0000 0.0000 5.2343
Tm 0.0000 0.0000 17.6657

---

Record 3
10
Lattice="6.1805 0.0000 0.0000 2.0491 6.8288 0.0000 2.0600 1.2285 7.5976" Properties=species:S:1:pos:R:3 comment="LaTb7Tm2 PBE-GGA optimized geometry" spacegroup=P-1 e_tot_ev_per_atom=-4.606 pbc="T T T"
La 0.0000 0.0000 0.0000
Tb 1.0246 3.4144 0.0000
Tb 3.0840 2.7932 4.5456
Tb 3.0929 0.9301 1.5371
Tb 4.1306 4.3355 1.5405
Tb 6.1590 3.7218 6.0572
Tb 7.1967 7.1273 6.0606
Tb 7.2056 5.2641 3.0521
Tm 4.1061 6.1971 4.5467
Tm 6.1835 1.8602 3.0510

---

Record 4
19
Lattice="6.6093 0.0000 0.0000 3.2283 8.1004 0.0000 2.7432 1.7030 11.2616" Properties=species:S:1:pos:R:3 comment="La2Tb5Tm12 PBE-GGA optimized geometry" spacegroup=P-1 e_tot_ev_per_atom=-4.473 pbc="T T T"
La 2.2872 1.0066 4.1002
La 10.2936 8.7968 7.1614
Tb 1.4973 2.4395 0.4634
Tb 4.6708 5.5274 5.5743
Tb 4.9188 4.0502 0.0000
Tb 7.9100 4.2760 5.6873
Tb 11.0835 7.3639 10.7982
Tm 3.0427 4.4521 2.7494
Tm 3.9906 7.4008 1.4536
Tm 3.9294 2.4402 6.9079
Tm 6.9574 7.3122 7.5514
Tm 6.0973 4.2860 8.6022
Tm 8.3884 9.3219 9.9030
Tm 4.1924 0.4815 1.3586
Tm 6.4835 5.5174 2.6594
Tm 5.6234 2.4912 3.7102
Tm 8.6514 7.3632 4.3537
Tm 8.5902 2.4026 9.8080
Tm 9.5381 5.3512 8.5122

---

Record 5
8
Lattice="-2.5514 2.5514 10.1375 2.5514 -2.5514 10.1375 2.5514 2.5514 -10.1375" Properties=species:S:1:pos:R:3 comment="La2Tb5Tm PBE-GGA optimized geometry" spacegroup=I4/mmm e_tot_ev_per_atom=-4.656 pbc="T T T"
La 0.0000 0.0000 5.0708
La 0.0000 0.0000 15.2043
Tb 0.0000 0.0000 0.0000
Tb 2.5514 0.0000 2.4596
Tb 2.5514 0.0000 7.6779
Tb 0.0000 2.5514 2.4596
Tb 0.0000 2.5514 7.6779
Tm 0.0000 0.0000 10.1375

---

Record 6
12
Lattice="6.6835 0.0000 0.0000 1.5725 6.7739 0.0000 1.9279 1.1745 8.3814" Properties=species:S:1:pos:R:3 comment="LaTb4Tm7 PBE-GGA optimized geometry" spacegroup=P-1 e_tot_ev_per_atom=-4.485 pbc="T T T"
La 0.0000 0.0000 0.0000
Tb 2.8468 4.4750 2.8133
Tb 3.9977 2.3828 5.7140
Tb 6.1862 5.5656 2.6674
Tb 7.3371 3.4734 5.5681
Tm 0.7862 3.3869 0.0000
Tm 2.0957 1.1413 3.0811
Tm 4.6078 5.7734 5.6082
Tm 3.6481 1.7474 0.2097
Tm 6.5357 6.2011 8.1716
Tm 5.5760 2.1750 2.7731
Tm 8.0882 6.8071 5.3003

---

Record 7
16
Lattice="11.5180 0.0000 0.0000 0.0000 7.3061 0.0000 0.0000 0.0000 6.3006" Properties=species:S:1:pos:R:3 comment="La3TbTm4 PBE-GGA optimized geometry" spacegroup=Pmn2_1 e_tot_ev_per_atom=-4.630 pbc="T T T"
La 0.0000 0.9417 0.0000
La 2.8729 0.9196 2.1066
La 2.8861 6.3865 5.2569
La 5.7590 6.3644 3.1503
La 8.6318 6.3865 5.2569
La 8.6451 0.9196 2.1066
Tb 0.0000 6.3328 3.1455
Tb 5.7590 0.9733 6.2958
Tm 0.0000 2.7868 3.1501
Tm 0.0000 4.5351 0.0239
Tm 2.8603 4.5230 2.1079
Tm 2.8987 2.7831 5.2582
Tm 5.7590 2.7710 3.1742
Tm 5.7590 4.5193 6.3004
Tm 8.6193 2.7831 5.2582
Tm 8.6577 4.5230 2.1079

---

Record 8
11
Lattice="3.6256 0.0000 0.0000 -0.0020 5.0492 0.0000 -1.8094 -2.5213 19.8499" Properties=species:S:1:pos:R:3 comment="La4Tb3Tm4 PBE-GGA optimized geometry" spacegroup=P-1 e_tot_ev_per_atom=-4.650 pbc="T T T"
La 0.0004 -0.0019 1.8267
La 0.0030 0.0041 12.5963
La 1.8112 2.5238 7.2536
La 1.8138 2.5298 18.0232
Tb -0.0001 -0.0014 5.4110
Tb 1.8118 2.5246 0.0000
Tb 1.8143 2.5293 14.4389
Tm 0.0008 0.0005 9.0665
Tm 0.0020 0.0053 16.1714
Tm 1.8123 2.5226 3.6785
Tm 1.8134 2.5273 10.7834

---

Record 9
15
Lattice="9.4109 0.0000 0.0000 -4.7054 8.1501 0.0000 0.0000 0.0000 6.4719" Properties=species:S:1:pos:R:3 comment="LaTb8Tm6 PBE-GGA optimized geometry" spacegroup=P-3 e_tot_ev_per_atom=-4.365 pbc="T T T"
La 0.0000 0.0000 0.0000
Tb -1.3531 2.7634 2.6178
Tb -1.6358 7.9402 2.6178
Tb 0.0000 5.4334 4.3591
Tb 1.7166 2.5535 3.8541
Tb 2.9888 5.5966 2.6178
Tb 4.7054 2.7167 2.1128
Tb 6.3412 0.2099 3.8541
Tb 6.0585 5.3867 3.8541
Tm -2.2974 5.5350 0.5977
Tm 1.0607 3.3929 0.5977
Tm 3.4687 0.7779 5.8742
Tm 1.2367 7.3722 0.5977
Tm 3.6448 4.7571 5.8742
Tm 7.0029 2.6150 5.8742

---

Record 10
14
Lattice="9.5778 0.0000 0.0000 -4.7889 8.2947 0.0000 0.0000 0.0000 5.6701" Properties=species:S:1:pos:R:3 comment="LaTb3Tm3 PBE-GGA optimized geometry" spacegroup=P6_3/m e_tot_ev_per_atom=-4.587 pbc="T T T"
La 0.0000 5.5298 1.4175
La 4.7889 2.7649 4.2526
Tb -0.6771 1.9682 1.4175
Tb -2.7459 7.8970 1.4175
Tb 1.3659 1.5705 4.2526
Tb 3.4230 6.7242 1.4175
Tb 7.5348 0.3977 4.2526
Tb 5.4661 6.3265 4.2526
Tm -1.3602 3.9534 4.2526
Tm -0.6850 7.4959 4.2526
Tm 2.7437 3.1547 1.4175
Tm 2.0452 5.1400 4.2526
Tm 5.4740 0.7988 1.4175
Tm 6.1491 4.3412 1.4175

---

Record 11
10
Lattice="4.8974 2.8275 3.9397 -4.8974 2.8275 3.9397 0.0000 -5.6550 3.9397" Properties=species:S:1:pos:R:3 comment="LaTb6Tm3 PBE-GGA optimized geometry" spacegroup=R3 e_tot_ev_per_atom=-4.347 pbc="T T T"
La 0.0000 0.0000 0.0000
Tb -3.2359 0.0141 5.8909
Tb -1.6095 -2.8142 7.8659
Tb 1.6057 -2.8095 5.8909
Tb -1.6324 2.8009 7.8659
Tb 1.6302 2.7953 5.8909
Tb 3.2419 0.0133 7.8659
Tm 0.0000 0.0000 3.0492
Tm 0.0000 0.0000 5.9376
Tm 0.0000 0.0000 8.8514

---

Record 12
14
Lattice="-4.8814 4.8814 4.8814 4.8814 -4.8814 4.8814 4.8814 4.8814 -4.8814" Properties=species:S:1:pos:R:3 comment="La2Tb2Tm3 PBE-GGA optimized geometry" spacegroup=I2_13 e_tot_ev_per_atom=-4.440 pbc="T T T"
La 6.4356 -1.5542 1.5542
La 1.5542 6.4356 -1.5542
La 3.3271 3.3271 3.3271
La -1.5542 1.5542 6.4356
Tb 4.5057 0.3757 -0.3757
Tb 0.3757 0.3757 0.3757
Tb 0.3757 -0.3757 4.5057
Tb -0.3757 4.5057 0.3757
Tm 7.3220 1.9788 0.0000
Tm 2.9026 0.0000 2.4407
Tm 2.4407 2.9026 0.0000
Tm 0.0000 2.4407 2.9026
Tm 1.9788 0.0000 7.3220
Tm 0.0000 7.3220 1.9788